1.
The following is a DFT calculation (PBE) of a geometry-optimized Ba6NaPt structure.

Relative energy among the computed polymorphs = 0.191 eV/f.u.
ρ = 3.745 Mg/m³
E = -2.56 eV/atom

Cell: 8.2703 8.2712 9.1395 Å, 63.11 63.17 60.04°
With the nearest neighbours (Å) after each atom.
Positions (direct):
Ba (0.0427, 0.4024, 0.2681)  1 Pt 3.13
Ba (0.2136, 0.9577, 0.7316)  1 Pt 3.13
Ba (0.4020, 0.7865, 0.2685)  1 Pt 3.13
Ba (0.5980, 0.2135, 0.7315)  1 Pt 3.13
Ba (0.7864, 0.0423, 0.2684)  1 Pt 3.13
Ba (0.9573, 0.5976, 0.7319)  1 Pt 3.13
Na (0.5000, 0.5000, 0.0000)  6 Ba 3.72
Pt (0.0000, 0.0000, 0.5000)  6 Ba 3.13

---

2.
The following is a DFT calculation (PBE) of a geometry-optimized Ti2AgB structure.

ρ = 5.785 Mg/m³
E = -6.07 eV/atom

Cell: 5.4866 5.4866 5.4866 Å, 103.95 103.95 121.18°
With the nearest neighbours (Å) after each atom.
Positions (direct):
Ti (0.0552, 0.6250, 0.9302)  2 B 2.19
Ti (0.3750, 0.3052, 0.4302)  2 B 2.19
Ti (0.6948, 0.1250, 0.0698)  2 B 2.19
Ti (0.8750, 0.9448, 0.5698)  2 B 2.19
Ag (0.2500, 0.7500, 0.5000)  2 B 2.69, 8 Ti 2.83-2.90
Ag (0.5000, 0.5000, 0.0000)  2 B 2.69, 8 Ti 2.83-2.90
B (0.0000, 0.0000, 0.0000)  4 Ti 2.19
B (0.7500, 0.2500, 0.5000)  4 Ti 2.19

---

3.
The following is a DFT calculation (PBE) of a geometry-optimized Cs2PaZn2S6 structure.

ρ = 3.917 Mg/m³
E = -4.54 eV/atom
Energy relative to the elements, uncorrected = -1039 meV per atom

Cell: 8.4117 8.4117 8.4117 Å, 52.59 52.59 52.59°
With the nearest neighbours (Å) after each atom.
Positions (direct):
Cs (0.2196, 0.2196, 0.2196)  9 S 3.74-3.82, 1 Zn 4.00
Cs (0.7804, 0.7804, 0.7804)  9 S 3.74-3.82, 1 Zn 4.00
Pa (0.0000, 0.0000, 0.0000)  6 S 2.64
Zn (0.4040, 0.4040, 0.4040)  3 S 2.24
Zn (0.5960, 0.5960, 0.5960)  3 S 2.24
S (0.2357, 0.2357, 0.7560)  1 Zn 2.24
S (0.2357, 0.7560, 0.2357)  1 Zn 2.24
S (0.2440, 0.7643, 0.7643)  1 Zn 2.24
S (0.7560, 0.2357, 0.2357)  1 Zn 2.24
S (0.7643, 0.2440, 0.7643)  1 Zn 2.24
S (0.7643, 0.7643, 0.2440)  1 Zn 2.24

---

4.
The following is a DFT calculation (PBE) of a geometry-optimized CaTl3Pt structure.

Relative energy among the computed polymorphs = 0.000 eV/f.u.
ρ = 9.044 Mg/m³
E = -3.06 eV/atom

Cell: 5.3803 5.3803 5.3803 Å, 90.00 90.00 90.00°
With the nearest neighbours (Å) after each atom.
Positions (direct):
Ca (0.0000, 0.0000, 0.0000)  12 Tl 3.80
Tl (0.0000, 0.5000, 0.5000)  2 Pt 2.69
Tl (0.5000, 0.0000, 0.5000)  2 Pt 2.69
Tl (0.5000, 0.5000, 0.0000)  2 Pt 2.69
Pt (0.5000, 0.5000, 0.5000)  6 Tl 2.69

---

5.
The following is a DFT calculation (PBE) of a geometry-optimized Ac2BePRh6 structure.

ρ = 10.306 Mg/m³
E = -6.82 eV/atom

Cell: 6.3269 6.3269 6.3269 Å, 60.00 60.00 60.00°
With the nearest neighbours (Å) after each atom.
Positions (direct):
Ac (0.2500, 0.2500, 0.2500)  12 Rh 3.16
Ac (0.7500, 0.7500, 0.7500)  12 Rh 3.16
Be (0.0000, 0.0000, 0.0000)  6 Rh 2.21
P (0.5000, 0.5000, 0.5000)  6 Rh 2.26
Rh (0.2470, 0.2470, 0.7530)  1 Be 2.21, 1 P 2.26
Rh (0.2470, 0.7530, 0.2470)  1 Be 2.21, 1 P 2.26
Rh (0.2470, 0.7530, 0.7530)  1 Be 2.21, 1 P 2.26
Rh (0.7530, 0.2470, 0.2470)  1 Be 2.21, 1 P 2.26
Rh (0.7530, 0.2470, 0.7530)  1 Be 2.21, 1 P 2.26
Rh (0.7530, 0.7530, 0.2470)  1 Be 2.21, 1 P 2.26

---

6.
The following is a DFT calculation (PBE) of a geometry-optimized Sc2AgS structure.

ρ = 3.351 Mg/m³
E = -5.25 eV/atom
Energy relative to the elements, uncorrected = -344 meV per atom

Cell: 7.9428 7.9428 7.9428 Å, 30.42 30.42 30.42°
With the nearest neighbours (Å) after each atom.
Positions (direct):
Sc (0.1028, 0.1028, 0.1028)  1 S 2.33
Sc (0.8972, 0.8972, 0.8972)  1 S 2.33
Ag (0.5000, 0.5000, 0.5000)  6 Sc 2.81
S (0.0000, 0.0000, 0.0000)  2 Sc 2.33